VASP calculation (GGA-PBE) on a relaxed KAg2SBr crystal.

Structure (POSCAR):
```
KAg2SBr
1.0
4.762 0.000 0.000
0.000 4.762 0.000
0.000 0.000 6.545
K Ag S Br
1 2 1 1
Direct
0.000 0.000 0.000
0.000 0.500 0.500
0.500 0.000 0.500
0.000 0.000 0.500
0.500 0.500 0.000
```

final energy = -3.1280 eV per atom
uncorrected formation energy = -607.9 meV/atom
relative energy among the computed polymorphs = 0 meV per atom
SG = P4/mmm, No. 123

VASP calculation (GGA-PBE) on a relaxed NaErTm crystal.

Structure (POSCAR):
```
NaErTm
1.0
3.488 0.000 0.000
0.001 5.551 0.000
0.011 0.018 10.068
Na Er Tm
2 2 2
Direct
0.182 0.250 0.076
0.818 0.750 0.924
0.493 0.248 0.707
0.507 0.752 0.293
0.006 0.749 0.586
0.994 0.251 0.414
```

final energy = -3.2997 eV per atom
relative energy among the computed polymorphs = 64 meV per atom
SG = P-1, No. 2
DFT formation energy = 0.1514 eV/atom

Please write out number 2 again, unchanged.
VASP calculation (GGA-PBE) on a relaxed NaErTm crystal.

Structure (POSCAR):
```
NaErTm
1.0
3.488 0.000 0.000
0.001 5.551 0.000
0.011 0.018 10.068
Na Er Tm
2 2 2
Direct
0.182 0.250 0.076
0.818 0.750 0.924
0.493 0.248 0.707
0.507 0.752 0.293
0.006 0.749 0.586
0.994 0.251 0.414
```

final energy = -3.2997 eV per atom
relative energy among the computed polymorphs = 64 meV per atom
SG = P-1, No. 2
DFT formation energy = 0.1514 eV/atom